[1]
First-principles (PBE) data for an optimized crystal structure of CoAu2C, as listed in the Alexandria database.

The structure in POSCAR format:
```
CoAu2C
1.0
5.053 0.000 0.000
0.000 5.053 0.000
2.526 2.526 5.757
Co Au C
2 4 2
Cartesian
0.000 0.000 0.000
5.053 2.526 2.878
3.790 4.255 4.318
6.316 5.851 4.318
1.728 3.790 1.439
3.325 1.263 1.439
2.526 2.526 0.000
2.526 5.053 2.878
```

Results
Formation energy from the elements ... 5.544 eV per formula unit
Crystal system ... tetragonal
Density ... 10.50 Mg/m³
Total magnetization ... 4.814 μB per cell

[2]
First-principles (PBE) data for an optimized crystal structure of Re4Sb5, as listed in the Alexandria database.

The structure in POSCAR format:
```
Re4Sb5
1.0
8.150 0.000 0.000
-4.075 7.059 0.000
0.000 0.000 5.996
Sb Re
10 8
Cartesian
4.075 2.353 2.998
-1.151 1.993 4.497
4.075 2.353 0.000
5.849 0.000 1.499
0.000 4.706 2.998
2.925 5.065 4.497
-2.925 5.065 1.499
2.301 0.000 4.497
1.151 1.993 1.499
0.000 4.706 0.000
1.566 2.712 4.497
2.509 4.346 1.499
3.132 0.000 1.499
5.019 0.000 4.497
-2.509 4.346 4.497
-1.566 2.712 1.499
0.000 0.000 2.998
0.000 0.000 0.000
```

Results
Energy relative to the elements, uncorrected ... 884 meV/atom
Crystal system ... hexagonal
Density ... 13.03 Mg/m³
Total magnetization ... 0.000 μB per cell

[3]
First-principles (PBE) data for an optimized crystal structure of NaHo3Er2Se6, as listed in the Alexandria database.

The structure in POSCAR format:
```
NaHo3Er2Se6
1.0
4.049 0.000 0.000
0.000 8.164 0.289
-2.024 -2.357 8.551
Er Se Ho Na
2 6 3 1
Cartesian
2.024 3.811 5.855
0.000 1.996 2.984
2.024 3.751 8.724
0.000 2.056 0.115
2.024 -0.106 2.912
0.000 5.913 5.928
2.024 3.978 3.002
0.000 1.829 5.838
2.024 4.082 0.144
0.000 5.962 3.036
2.024 -0.154 5.803
2.024 0.000 0.000
```

Results
Energy relative to the elements, uncorrected ... -1712 meV/atom
Crystal system ... monoclinic
Density ... 7.71 Mg/m³
Total magnetization ... 0.000 μB per cell

[4]
First-principles (PBE) data for an optimized crystal structure of Hf3Be, as listed in the Alexandria database.

The structure in POSCAR format:
```
Hf3Be
1.0
-0.349 -2.300 -1.957
1.667 -1.764 1.777
-7.299 -2.557 4.308
Hf Be
3 1
Cartesian
-5.468 -3.005 2.146
-2.653 -2.104 2.947
-0.445 -2.419 0.562
-7.146 -2.503 4.218
```

Results
Formation energy from the elements ... 1.268 eV per formula unit
Crystal system ... orthorhombic
Density ... 11.17 Mg/m³
Total magnetization ... 0.000 μB per cell

[5]
First-principles (PBE) data for an optimized crystal structure of Dy4Tl2InRh, as listed in the Alexandria database.

The structure in POSCAR format:
```
Dy4Tl2InRh
1.0
5.269 0.000 0.000
2.634 4.563 0.000
2.634 1.521 8.439
Dy In Tl Rh
4 1 2 1
Cartesian
5.269 3.042 7.100
7.903 4.563 3.336
2.634 1.521 5.103
5.269 3.042 1.339
0.000 0.000 0.000
7.903 4.563 6.475
2.634 1.521 1.964
5.269 3.042 4.219
```

Results
Formation energy from the elements ... -3.699 eV per formula unit
Crystal system ... trigonal
Density ... 10.45 Mg/m³
Total magnetization ... 0.000 μB per cell

[6]
First-principles (PBE) data for an optimized crystal structure of DyHg5, as listed in the Alexandria database.

The structure in POSCAR format:
```
DyHg5
1.0
-3.227 -3.908 -0.616
2.516 0.555 4.456
-4.693 3.423 2.870
Hg Dy
5 1
Cartesian
-4.827 -0.318 6.152
-2.317 1.237 4.289
-2.430 -2.046 4.559
-3.033 -1.115 1.810
-5.431 0.613 3.403
0.030 -0.474 2.854
```

Results
Formation energy from the elements ... -1.146 eV per formula unit
Crystal system ... monoclinic
Density ... 13.16 Mg/m³
Total magnetization ... 0.000 μB per cell

[7]
First-principles (PBE) data for an optimized crystal structure of Ba4Zn2Rh, as listed in the Alexandria database.

The structure in POSCAR format:
```
Ba4Zn2Rh
1.0
6.224 0.000 0.000
0.000 6.224 0.000
3.112 3.112 7.899
Zn Ba Rh
2 4 1
Cartesian
3.112 3.112 1.420
6.224 6.224 6.479
3.112 0.000 0.000
6.224 6.224 3.033
3.112 3.112 4.866
0.000 3.112 0.000
0.000 0.000 0.000
```

Results
Formation energy from the elements ... -0.322 eV per formula unit
Crystal system ... tetragonal
Density ... 4.25 Mg/m³
Total magnetization ... 0.001 μB per cell

[8]
First-principles (PBE) data for an optimized crystal structure of CeNiSbPd, as listed in the Alexandria database.

The structure in POSCAR format:
```
CeNiSbPd
1.0
-3.665 -0.765 -2.976
-3.506 -3.005 1.247
-4.341 1.701 1.066
Ni Sb Pd Ce
1 1 1 1
Cartesian
-5.756 -1.035 -0.331
-2.878 -0.517 -0.166
0.000 0.000 0.000
-8.634 -1.552 -0.497
```

Results
Energy relative to the elements, uncorrected ... -594 meV/atom
Crystal system ... cubic
Density ... 9.17 Mg/m³
Total magnetization ... 0.431 μB per cell

[9]
First-principles (PBE) data for an optimized crystal structure of MgTa3Au, as listed in the Alexandria database.

The structure in POSCAR format:
```
MgTa3Au
1.0
-0.290 4.114 2.787
1.384 -2.614 4.003
4.773 1.008 -0.992
Ta Mg Au
3 1 1
Cartesian
2.386 0.504 -0.496
0.692 -1.307 2.002
-0.145 2.057 1.394
2.933 1.254 2.899
0.000 0.000 0.000
```

Results
Formation energy from the elements ... 7.979 eV per formula unit
Crystal system ... cubic
Density ... 10.29 Mg/m³
Total magnetization ... 0.000 μB per cell

[10]
First-principles (PBE) data for an optimized crystal structure of ErFe4Sb12, as listed in the Alexandria database.

The structure in POSCAR format:
```
ErFe4Sb12
1.0
-4.088 6.788 0.433
-2.489 -4.192 -6.261
-1.152 -4.209 6.628
Fe Sb Er
4 12 1
Cartesian
-1.244 -2.096 -3.131
-0.576 -2.104 3.314
-3.864 -0.806 0.400
-2.044 3.394 0.216
-2.750 -1.988 4.631
-3.277 -5.191 1.385
-2.057 -2.376 1.263
-4.924 -2.890 -0.607
-4.978 0.376 -3.831
-3.168 -3.754 -2.972
-2.775 -0.494 -1.879
-4.954 -1.119 2.678
-4.452 3.578 -0.586
-2.805 1.277 1.406
-5.671 0.764 -0.463
-4.560 2.141 3.771
0.000 0.000 0.000
```

Results
Energy relative to the elements, uncorrected ... -150 meV/atom
Crystal system ... cubic
Density ... 7.99 Mg/m³
Total magnetization ... 1.122 μB per cell

[11]
First-principles (PBE) data for an optimized crystal structure of TbPmUO6, as listed in the Alexandria database.

The structure in POSCAR format:
```
TbPmUO6
1.0
5.832 0.000 0.000
-2.916 5.050 0.000
0.000 0.000 9.613
Pm O Tb U
2 12 2 2
Cartesian
0.000 0.000 0.000
0.000 0.000 4.806
2.031 0.124 1.309
4.708 1.697 1.309
-1.792 3.354 8.304
2.008 3.229 1.309
1.123 1.697 3.497
3.801 0.124 3.497
-0.908 1.821 6.116
0.908 1.821 8.304
1.792 3.354 6.116
3.824 3.229 3.497
-0.885 4.926 6.116
0.885 4.926 8.304
0.000 3.367 2.403
2.916 1.683 7.210
2.916 1.683 2.403
0.000 3.367 7.210
```

Results
Energy relative to the elements, uncorrected ... -3328 meV/atom
Crystal system ... trigonal
Density ... 7.48 Mg/m³
Total magnetization ... 0.000 μB per cell

[12]
First-principles (PBE) data for an optimized crystal structure of RbTh2F9, as listed in the Alexandria database.

The structure in POSCAR format:
```
RbTh2F9
1.0
-2.844 5.738 3.388
1.806 -3.772 7.904
10.779 5.302 0.068
F Rb Th
36 4 8
Cartesian
3.152 4.278 8.606
7.430 5.210 7.627
3.639 3.523 5.977
9.639 5.344 9.813
5.262 5.397 3.514
-1.589 5.798 3.198
10.071 3.834 7.419
6.011 8.137 4.291
4.923 6.017 8.945
4.478 1.871 7.846
9.750 4.546 2.774
-0.331 3.434 3.941
-0.010 2.723 8.586
6.101 3.745 5.383
9.424 5.379 5.404
4.739 6.045 6.209
4.817 1.252 2.414
1.734 7.433 3.219
1.434 -0.413 2.393
8.425 7.858 6.232
5.001 1.224 5.151
6.589 2.991 2.754
1.315 -0.589 5.127
5.953 3.530 9.790
3.730 -0.869 7.069
0.101 1.925 1.546
2.831 4.990 3.961
6.910 2.279 7.399
8.646 7.062 3.536
8.307 7.681 8.967
11.329 1.470 8.161
2.311 2.059 3.733
8.007 -0.164 8.141
3.787 3.738 1.570
0.317 1.889 5.956
1.095 0.207 7.824
1.090 4.502 6.618
2.620 1.351 9.823
8.650 2.766 4.741
7.120 5.917 1.537
0.152 1.051 3.752
5.891 0.134 7.061
4.427 3.153 3.779
9.589 6.218 7.608
8.124 9.238 4.325
1.617 -1.969 7.035
3.849 7.135 4.298
5.314 4.115 7.581
```

Results
Energy relative to the elements, uncorrected ... -3973 meV/atom
Crystal system ... orthorhombic
Density ... 6.15 Mg/m³
Total magnetization ... 0.000 μB per cell

[13]
First-principles (PBE) data for an optimized crystal structure of Zr2AgPb, as listed in the Alexandria database.

The structure in POSCAR format:
```
Zr2AgPb
1.0
7.953 0.000 0.000
0.000 7.953 0.000
3.976 3.976 2.985
Zr Pb Ag
4 2 2
Cartesian
5.965 6.066 2.238
2.090 5.965 0.746
9.941 9.839 2.238
5.863 1.988 0.746
0.000 0.000 0.000
7.953 3.976 1.492
3.976 7.953 1.492
3.976 3.976 0.000
```

Results
Formation energy from the elements ... 0.745 eV per formula unit
Crystal system ... tetragonal
Density ... 8.75 Mg/m³
Total magnetization ... 0.000 μB per cell

[14]
First-principles (PBE) data for an optimized crystal structure of ThCdGe2, as listed in the Alexandria database.

The structure in POSCAR format:
```
ThCdGe2
1.0
-1.327 -3.947 -1.535
1.251 -3.721 2.071
-6.712 -2.157 4.933
Ge Th Cd
2 1 1
Cartesian
-2.173 -7.544 2.026
-4.616 -2.282 3.443
-3.394 -4.913 2.734
0.000 0.000 0.000
```

Results
Formation energy from the elements ... 0.957 eV per formula unit
Crystal system ... trigonal
Density ... 5.80 Mg/m³
Total magnetization ... 0.000 μB per cell

[15]
First-principles (PBE) data for an optimized crystal structure of Pr12Co5Te, as listed in the Alexandria database.

The structure in POSCAR format:
```
Pr12Co5Te
1.0
8.124 0.050 -3.092
-4.209 7.152 -2.589
0.002 -0.050 8.693
Pr Co Te
12 5 1
Cartesian
6.557 0.058 -0.818
-0.374 4.889 5.940
3.989 4.392 2.908
-0.072 2.760 0.104
2.707 4.938 -0.629
1.210 2.214 3.641
4.291 2.264 -2.928
-2.639 7.094 3.830
-2.514 5.817 0.133
0.770 5.817 2.397
6.431 1.335 2.879
3.147 1.335 0.616
1.496 2.752 -2.171
0.000 0.000 0.000
3.601 0.780 3.470
2.419 4.450 -3.510
0.316 6.372 -0.458
-2.104 3.551 3.052
```

Results
Energy relative to the elements, uncorrected ... -180 meV/atom
Crystal system ... orthorhombic
Density ... 6.94 Mg/m³
Total magnetization ... 0.000 μB per cell

[16]
First-principles (PBE) data for an optimized crystal structure of Zn2RhBr, as listed in the Alexandria database.

The structure in POSCAR format:
```
Zn2RhBr
1.0
3.201 0.015 0.000
-0.014 3.201 0.000
0.000 0.000 6.899
Br Rh Zn
1 1 2
Cartesian
1.594 1.608 1.725
1.594 1.608 5.174
0.000 0.000 6.533
0.000 0.000 3.815
```

Results
Energy relative to the elements, uncorrected ... -141 meV/atom
Crystal system ... tetragonal
Density ... 7.37 Mg/m³
Total magnetization ... 0.000 μB per cell

[17]
First-principles (PBE) data for an optimized crystal structure of RbInHg2, as listed in the Alexandria database.

The structure in POSCAR format:
```
RbInHg2
1.0
-3.270 2.133 -3.392
-4.226 3.055 5.996
2.434 2.205 -0.959
Hg Rb In
2 1 1
Cartesian
-3.508 3.458 -2.329
-1.553 3.935 3.973
-3.748 2.594 1.302
-1.635 1.067 -1.696
```

Results
Formation energy from the elements ... -0.468 eV per formula unit
Crystal system ... monoclinic
Density ... 7.56 Mg/m³
Total magnetization ... 0.000 μB per cell

[18]
First-principles (PBE) data for an optimized crystal structure of Th5Tc2Au, as listed in the Alexandria database.

The structure in POSCAR format:
```
Th5Tc2Au
1.0
-7.071 1.971 2.934
-2.841 -7.073 -2.096
6.738 0.069 5.542
Th Tc Au
10 4 2
Cartesian
-0.675 0.007 5.631
-6.418 -1.447 3.416
-0.809 -3.888 4.050
3.378 0.309 4.546
-6.552 -5.342 1.834
3.244 -3.586 2.964
-2.500 -5.040 0.748
-4.956 -2.551 0.419
0.000 0.000 0.000
-2.366 -1.145 2.330
-7.900 -2.831 1.182
-4.990 -5.374 -0.746
-4.922 0.272 1.584
-2.012 -2.271 -0.344
-4.065 -3.792 3.399
0.891 -1.241 2.980
```

Results
Formation energy from the elements ... -2.516 eV per formula unit
Crystal system ... tetragonal
Density ... 12.32 Mg/m³
Total magnetization ... 0.000 μB per cell

[19]
First-principles (PBE) data for an optimized crystal structure of CaCePt2, as listed in the Alexandria database.

The structure in POSCAR format:
```
CaCePt2
1.0
-1.551 2.617 1.804
0.333 -1.862 2.989
6.402 2.998 1.155
Pt Ce Ca
2 1 1
Cartesian
1.487 0.697 0.268
4.914 2.301 0.887
-0.609 0.378 2.396
2.592 1.877 2.974
```

Results
Formation energy from the elements ... -3.967 eV per formula unit
Crystal system ... tetragonal
Density ... 10.57 Mg/m³
Total magnetization ... 0.620 μB per cell

[20]
First-principles (PBE) data for an optimized crystal structure of KCrMo2, as listed in the Alexandria database.

The structure in POSCAR format:
```
KCrMo2
1.0
4.693 0.000 0.000
2.347 4.064 0.000
2.347 1.355 3.832
K Cr Mo
1 1 2
Cartesian
7.040 4.064 2.874
4.693 2.710 1.916
0.000 0.000 0.000
2.347 1.355 0.958
```

Results
Formation energy from the elements ... 6.101 eV per formula unit
Crystal system ... cubic
Density ... 6.43 Mg/m³
Total magnetization ... 3.449 μB per cell